Entry 1:
A plane-wave DFT calculation with GGA-PBE was carried out for crystalline KIr2Pb2 at its relaxed geometry.

Raw total energy (eV for the cell shown): -49.0
Formation energy (meV/atom): 344
Total magnetization (μB/atom): 0.000
Density of states at the Fermi level (states/eV per cell): 5.478
Polymorph energy (0 for the lowest one) (meV per atom): 118

abc: 8.3929 8.3929 3.1217
angles: 90.00 90.00 90.00
Space group P4/mbm (No. 127)
Asymmetric unit:
K 0.0000 0.0000 0.0000 x2
Ir 0.1329 0.3671 0.0000 x4
Pb 0.1571 0.6571 0.5000 x4

Entry 2:
A plane-wave DFT calculation with GGA-PBE was carried out for crystalline GaCuS2 at its relaxed geometry.

Raw formation energy (kJ/mol of formula units): -157
Raw total energy (eV for the cell shown): -51.0
Total magnetization (μB/atom): 0.000
Density of states at the Fermi level (states/eV per cell): 1.248

abc: 3.7423 3.7423 17.6305
angles: 90.00 90.00 120.00
Space group R3m (No. 160, hexagonal axes)
Asymmetric unit:
Ga 0.0000 0.0000 0.0000 x3
Cu 0.0000 0.0000 0.8601 x3
S 0.0000 0.0000 0.2401 x3
S 0.0000 0.0000 0.7297 x3

Entry 3:
A plane-wave DFT calculation with GGA-PBE was carried out for crystalline Sr6NiPd at its relaxed geometry.

Raw total energy (eV for the cell shown): -45.2
Formation energy (meV/atom): -189
Total magnetization (μB/atom): 0.000
Density of states at the Fermi level (states/eV per cell): 11.400

abc: 7.3955 7.3955 14.2669
angles: 90.00 90.00 120.00
Space group P-31c (No. 163)
Asymmetric unit:
Sr 0.0056 0.3294 0.1231 x12
Ni 0.0000 0.0000 0.0000 x2
Pd 0.3333 0.6667 0.2500 x2

Entry 4:
A plane-wave DFT calculation with GGA-PBE was carried out for crystalline ZrSi2Ag at its relaxed geometry.

Raw formation energy (kJ/mol of formula units): 28
Raw total energy (eV for the cell shown): -65.9
Total magnetization (μB/atom): 0.000
Density of states at the Fermi level (states/eV per cell): 5.602

abc: 3.0020 3.0020 27.2489
angles: 90.00 90.00 120.00
Space group R-3m (No. 166, hexagonal axes)
Asymmetric unit:
Zr 0.0000 0.0000 0.0000 x3
Si 0.0000 0.0000 0.2482 x6
Ag 0.0000 0.0000 0.5000 x3

Entry 5:
A plane-wave DFT calculation with GGA-PBE was carried out for crystalline MgAlIO2 at its relaxed geometry.

Raw formation energy (kJ/mol of formula units): -537
Raw total energy (eV for the cell shown): -22.4
Total magnetization (μB/atom): 0.000
Density of states at the Fermi level (states/eV per cell): 2.461
Polymorph energy (0 for the lowest one) (meV per atom): 0

abc: 3.8135 3.8135 5.6784
angles: 90.00 90.00 90.00
Space group P4/mmm (No. 123)
Asymmetric unit:
Mg 0.0000 0.0000 0.0000 x1
Al 0.5000 0.5000 0.5000 x1
I 0.5000 0.5000 0.0000 x1
O 0.0000 0.5000 0.5000 x2

Entry 6:
A plane-wave DFT calculation with GGA-PBE was carried out for crystalline NaGeP at its relaxed geometry.

Raw total energy (eV for the cell shown): -36.6
Formation energy (meV/atom): -288
Total magnetization (μB/atom): 0.000

abc: 3.6580 3.6580 17.2165
angles: 90.00 90.00 120.00
Space group R3m (No. 160, hexagonal axes)
Asymmetric unit:
Na 0.0000 0.0000 0.0000 x3
Ge 0.0000 0.0000 0.1944 x3
P 0.0000 0.0000 0.7920 x3

Entry 7:
A plane-wave DFT calculation with GGA-PBE was carried out for crystalline Li2Ho2Pt3 at its relaxed geometry.

Raw total energy (eV for the cell shown): -37.4
Formation energy (meV/atom): -896
Total magnetization (μB/atom): 0.000
Density of states at the Fermi level (states/eV per cell): 2.404

abc: 4.7935 4.7938 7.5038
angles: 108.44 90.14 119.96
Space group P-1 (No. 2)
Asymmetric unit:
Li 0.1317 0.2617 0.3946 x2
Ho 0.3890 0.7766 0.1664 x2
Pt 0.0000 0.0000 0.0000 x1
Pt 0.2533 0.5088 0.7610 x2

Entry 8:
A plane-wave DFT calculation with GGA-PBE was carried out for crystalline Pr3Sm3Tm at its relaxed geometry.

Raw total energy (eV for the cell shown): -188.2
Formation energy (meV/atom): 230
Total magnetization (μB/atom): 0.000
Density of states at the Fermi level (states/eV per cell): 58.932
Polymorph energy (0 for the lowest one) (meV per atom): 109

abc: 8.7771 8.7771 22.2645
angles: 90.00 90.00 120.00
Space group R-3 (No. 148, hexagonal axes)
Asymmetric unit:
Pr 0.0045 0.7613 0.0584 x18
Sm 0.0509 0.6027 0.8806 x18
Tm 0.0000 0.0000 0.3452 x6

Entry 9:
A plane-wave DFT calculation with GGA-PBE was carried out for crystalline Mn2CdGa2 at its relaxed geometry.

Raw total energy (eV for the cell shown): -48.4
Formation energy (meV/atom): 225
Total magnetization (μB/atom): 1.210
Density of states at the Fermi level (states/eV per cell): 7.142

abc: 3.9449 3.9449 11.1872
angles: 90.00 90.00 90.00
Space group I4/mmm (No. 139)
Asymmetric unit:
Mn 0.0000 0.5000 0.2500 x4
Cd 0.0000 0.0000 0.0000 x2
Ga 0.0000 0.0000 0.3902 x4

Entry 10:
A plane-wave DFT calculation with GGA-PBE was carried out for crystalline MgSnAs2 at its relaxed geometry.

Raw total energy (eV for the cell shown): -64.7
Formation energy (meV/atom): -318
Total magnetization (μB/atom): 0.000
Density of states at the Fermi level (states/eV per cell): 0.000
Polymorph energy (0 for the lowest one) (meV per atom): 0

abc: 6.1512 6.1512 12.0720
angles: 90.00 90.00 90.00
Space group I-42d (No. 122)
Asymmetric unit:
Mg 0.0000 0.0000 0.0000 x4
Sn 0.0000 0.0000 0.5000 x4
As 0.2486 0.2500 0.1250 x8

Entry 11:
A plane-wave DFT calculation with GGA-PBE was carried out for crystalline Na2Nd2RuO6 at its relaxed geometry.

Raw formation energy (kJ/mol of formula units): -2212
Raw total energy (eV for the cell shown): -148.2
Total magnetization (μB/atom): 0.182
Density of states at the Fermi level (states/eV per cell): 11.676

abc: 5.9462 10.3210 5.8947
angles: 90.00 103.33 90.00
Space group C2/m (No. 12)
Asymmetric unit:
Na 0.0000 0.1343 0.0000 x4
Nd 0.0000 0.3378 0.5000 x4
Ru 0.0000 0.0000 0.5000 x2
O 0.1851 0.1510 0.6900 x8
O 0.2426 0.0000 0.2956 x4

Entry 12:
A plane-wave DFT calculation with GGA-PBE was carried out for crystalline Li2Ca2MgGa5 at its relaxed geometry.

Raw total energy (eV for the cell shown): -55.6
Formation energy (meV/atom): -322
Total magnetization (μB/atom): 0.000
Density of states at the Fermi level (states/eV per cell): 8.682

abc: 9.5170 9.5170 4.2946
angles: 90.00 90.00 90.00
Space group P4/mbm (No. 127)
Asymmetric unit:
Li 0.1110 0.3890 0.0000 x4
Ca 0.1839 0.6839 0.0000 x4
Mg 0.0000 0.0000 0.0000 x2
Ga 0.0000 0.5000 0.5000 x2
Ga 0.0516 0.2058 0.5000 x8

Entry 13:
A plane-wave DFT calculation with GGA-PBE was carried out for crystalline Tl3H8I at its relaxed geometry.

Raw total energy (eV for the cell shown): -69.4
Total magnetization (μB/atom): 0.000
Density of states at the Fermi level (states/eV per cell): 3.121

abc: 7.9486 7.9486 6.8592
angles: 90.00 90.00 90.00
Space group I-42m (No. 121)
Asymmetric unit:
Tl 0.0000 0.0000 0.0000 x2
Tl 0.0000 0.5000 0.2500 x4
H 0.2330 0.2330 0.2964 x8
H 0.2350 0.2350 0.6976 x8
I 0.0000 0.0000 0.5000 x2

Entry 14:
A plane-wave DFT calculation with GGA-PBE was carried out for crystalline CsPa4Ag3Te12 at its relaxed geometry.

Raw formation energy (kJ/mol of formula units): -1133
Raw total energy (eV for the cell shown): -193.7
Total magnetization (μB/atom): 0.000

abc: 11.2294 11.2294 11.2294
angles: 90.00 90.00 90.00
Space group Im-3 (No. 204)
Asymmetric unit:
Cs 0.0000 0.0000 0.0000 x2
Pa 0.2500 0.2500 0.2500 x8
Ag 0.0000 0.0000 0.5000 x6
Te 0.0000 0.1781 0.3125 x24

Entry 15:
A plane-wave DFT calculation with GGA-PBE was carried out for crystalline BaLi4In2Au at its relaxed geometry.

Raw total energy (eV for the cell shown): -62.1
Formation energy (meV/atom): -294
Total magnetization (μB/atom): 0.000
Density of states at the Fermi level (states/eV per cell): 17.323

abc: 4.6931 4.6931 29.5664
angles: 90.00 90.00 120.00
Space group R-3m (No. 166, hexagonal axes)
Asymmetric unit:
Ba 0.0000 0.0000 0.0000 x3
Li 0.0000 0.0000 0.1390 x6
Li 0.0000 0.0000 0.4152 x6
In 0.0000 0.0000 0.2365 x6
Au 0.0000 0.0000 0.5000 x3

Entry 16:
A plane-wave DFT calculation with GGA-PBE was carried out for crystalline PrDy3Y6Ho2 at its relaxed geometry.

Raw total energy (eV for the cell shown): -132.6
Formation energy (meV/atom): 20
Total magnetization (μB/atom): 0.000
Density of states at the Fermi level (states/eV per cell): 33.514

abc: 6.1814 10.6964 11.8278
angles: 90.00 99.98 90.00
Space group C2/m (No. 12)
Asymmetric unit:
Pr 0.0000 0.0000 0.0000 x2
Dy 0.0000 0.1671 0.5000 x4
Dy 0.0000 0.5000 0.5000 x2
Y 0.2485 0.3329 0.7486 x8
Y 0.2499 0.0000 0.7487 x4
Ho 0.0000 0.3334 0.0000 x4

Entry 17:
A plane-wave DFT calculation with GGA-PBE was carried out for crystalline Rb3SmHo2Te6 at its relaxed geometry.

Raw formation energy (kJ/mol of formula units): -1603
Raw total energy (eV for the cell shown): -104.5
Total magnetization (μB/atom): 0.000

abc: 7.8667 13.6260 8.9487
angles: 90.00 107.05 90.00
Space group C2/m (No. 12)
Asymmetric unit:
Rb 0.0000 0.0000 0.0000 x2
Rb 0.0000 0.3350 0.0000 x4
Sm 0.0000 0.5000 0.5000 x2
Ho 0.0000 0.1669 0.5000 x4
Te 0.2275 0.0000 0.6995 x4
Te 0.2362 0.3305 0.7001 x8

Entry 18:
A plane-wave DFT calculation with GGA-PBE was carried out for crystalline Dy7Y3Ho2 at its relaxed geometry.

Raw total energy (eV for the cell shown): -59.8
Formation energy (meV/atom): 76
Total magnetization (μB/atom): 0.000
Density of states at the Fermi level (states/eV per cell): 17.719
Polymorph energy (0 for the lowest one) (meV per atom): 0

abc: 6.3112 3.5136 17.3599
angles: 90.00 96.12 90.00
Space group P2/m (No. 10)
Asymmetric unit:
Dy 0.0000 0.0000 0.0000 x1
Dy 0.2234 0.5000 0.1678 x2
Dy 0.2551 0.5000 0.4985 x2
Dy 0.2727 0.0000 0.8333 x2
Y 0.4497 0.0000 0.3420 x2
Y 0.5000 0.5000 0.0000 x1
Ho 0.0590 0.5000 0.6725 x2

Entry 19:
A plane-wave DFT calculation with GGA-PBE was carried out for crystalline ThSc at its relaxed geometry.

Raw total energy (eV for the cell shown): -27.3
Formation energy (meV/atom): 58
Total magnetization (μB/atom): 0.000
Density of states at the Fermi level (states/eV per cell): 5.545
Polymorph energy (0 for the lowest one) (meV per atom): 2

abc: 5.6082 3.4216 5.9597
angles: 90.00 90.00 90.00
Space group Pmma (No. 51)
Asymmetric unit:
Th 0.2500 0.0000 0.1548 x2
Sc 0.2500 0.5000 0.6449 x2

Entry 20:
A plane-wave DFT calculation with GGA-PBE was carried out for crystalline PuNp2TaP4 at its relaxed geometry.

Raw total energy (eV for the cell shown): -80.8
Formation energy (meV/atom): -890
Total magnetization (μB/atom): 0.622
Density of states at the Fermi level (states/eV per cell): 21.184

abc: 6.6442 3.8482 6.6537
angles: 90.00 109.08 90.00
Space group P2/m (No. 10)
Asymmetric unit:
Pu 0.0000 0.0000 0.0000 x1
Np 0.5000 0.0000 0.5000 x1
Np 0.5000 0.5000 0.0000 x1
Ta 0.0000 0.5000 0.5000 x1
P 0.2329 0.0000 0.7318 x2
P 0.2401 0.5000 0.2623 x2

Entry 21:
A plane-wave DFT calculation with GGA-PBE was carried out for crystalline PrMgTlZn at its relaxed geometry.

Raw total energy (eV for the cell shown): -44.4
Formation energy (meV/atom): -272
Total magnetization (μB/atom): 0.000
Density of states at the Fermi level (states/eV per cell): 5.100

abc: 7.3424 7.3424 7.3424
angles: 90.00 90.00 90.00
Space group F-43m (No. 216)
Asymmetric unit:
Pr 0.0000 0.0000 0.0000 x4
Mg 0.0000 0.0000 0.5000 x4
Tl 0.2500 0.2500 0.2500 x4
Zn 0.2500 0.2500 0.7500 x4

Entry 22:
A plane-wave DFT calculation with GGA-PBE was carried out for crystalline MgZnBr at its relaxed geometry.

Raw formation energy (kJ/mol of formula units): -93
Raw total energy (eV for the cell shown): -22.0
Total magnetization (μB/atom): 0.000
Density of states at the Fermi level (states/eV per cell): 2.822
Polymorph energy (0 for the lowest one) (meV per atom): 71

abc: 4.8305 4.8514 12.1115
angles: 90.00 90.00 90.00
Space group Fmm2 (No. 42)
Asymmetric unit:
Mg 0.0000 0.0000 0.0000 x4
Zn 0.0000 0.0000 0.6322 x4
Br 0.0000 0.0000 0.3658 x4

Entry 23:
A plane-wave DFT calculation with GGA-PBE was carried out for crystalline MnAg6Au8 at its relaxed geometry.

Raw total energy (eV for the cell shown): -51.4
Formation energy (meV/atom): 75
Total magnetization (μB/atom): 0.284
Density of states at the Fermi level (states/eV per cell): 4.484

abc: 7.8867 7.8867 5.2286
angles: 90.00 90.00 120.00
Space group P-3 (No. 147)
Asymmetric unit:
Mn 0.0000 0.0000 0.0000 x1
Ag 0.1035 0.6440 0.1906 x6
Au 0.0465 0.7675 0.6879 x6
Au 0.3333 0.6667 0.6996 x2